Computed, not measured: crystalline ZrH2OsO at its relaxed geometry at the PBE level of DFT.

Structure (POSCAR):
```
ZrH2OsO
1.0
3.541 0.000 0.000
0.000 3.541 0.000
0.000 0.000 5.196
Zr H Os O
1 2 1 1
Direct
0.000 0.000 0.000 Zr
0.000 0.500 0.000 H
0.500 0.000 0.000 H
0.000 0.000 0.500 Os
0.500 0.500 0.500 O
```

Results
The calculation puts the density of states at the Fermi level at 1.5 states/eV/cell. The magnetization is 1.2 μB per cell. The electronic total energy is -5.583 eV per atom.


Computed, not measured: crystalline Mn2Tl3Br9 at its relaxed geometry at the PBE level of DFT.

Structure (POSCAR):
```
Mn2Tl3Br9
1.0
6.253 3.610 6.622
-6.253 3.610 6.622
0.000 -7.220 6.622
Mn Tl Br
4 6 18
Direct
0.164 0.164 0.164 Mn
0.336 0.336 0.336 Mn
0.664 0.664 0.664 Mn
0.836 0.836 0.836 Mn
0.079 0.750 0.421 Tl
0.250 0.579 0.921 Tl
0.421 0.079 0.750 Tl
0.579 0.921 0.250 Tl
0.750 0.421 0.079 Tl
0.921 0.250 0.579 Tl
0.071 0.898 0.731 Br
0.089 0.411 0.250 Br
0.102 0.269 0.929 Br
0.231 0.398 0.571 Br
0.250 0.089 0.411 Br
0.269 0.929 0.102 Br
0.398 0.571 0.231 Br
0.411 0.250 0.089 Br
0.429 0.769 0.602 Br
0.571 0.231 0.398 Br
0.589 0.750 0.911 Br
0.602 0.429 0.769 Br
0.731 0.071 0.898 Br
0.750 0.911 0.589 Br
0.769 0.602 0.429 Br
0.898 0.731 0.071 Br
0.911 0.589 0.750 Br
0.929 0.102 0.269 Br
```

Results
The calculation puts the density of states at the Fermi level at 9.9 states/eV/cell. The magnetization is 16.0 μB per cell. The calculation puts the formation energy from raw total energies at -70.2 kJ/mol of atoms. The electronic total energy is -3.620 eV per atom.


Which of these has the lowest magnetization? ZrH2OsO


electronic total energy of number 1 (ZrH2OsO)? -5.583 eV per atom